1.
Entry from the Open Quantum Materials Database: a relaxed structure of Nb4W2Au3C3 (PBE-GGA).

Structure (POSCAR):
```
Nb4W2Au3C3
1.0
4.7494 -2.7419 0.0000
4.7494 2.7419 0.0000
-3.1649 0.0000 13.7104
Nb W Au C
8 4 6 6
direct
0.0321 0.1930 0.0878
0.1343 0.3043 0.4121
0.1930 0.0321 0.5878
0.3043 0.1343 0.9121
0.6957 0.8657 0.0879
0.8070 0.9679 0.4122
0.8657 0.6957 0.5879
0.9679 0.8070 0.9122
0.3552 0.5259 0.0775
0.4741 0.6448 0.4225
0.5259 0.3552 0.5775
0.6448 0.4741 0.9225
0.1058 0.8942 0.2500
0.2736 0.4160 0.7506
0.4160 0.2736 0.2506
0.5840 0.7264 0.7494
0.7264 0.5840 0.2494
0.8942 0.1058 0.7500
0.0000 0.5000 0.0000
0.1681 0.6661 0.5000
0.3339 0.8319 0.0000
0.5000 0.0000 0.5000
0.6661 0.1681 0.0000
0.8319 0.3339 0.5000
```

Magnetization: 0.0 μB per formula unit

2.
Entry from the Open Quantum Materials Database: a relaxed structure of Pr2NdMg3Al2Cd (PBE-GGA).

Structure (POSCAR):
```
Pr2NdMg3Al2Cd
1.0
4.6892 0.0000 0.0000
0.0000 6.5858 3.8106
0.0000 -6.5858 3.8106
Pr Nd Mg Al Cd
2 1 3 2 1
direct
0.0000 0.2127 0.7873
0.0000 0.7873 0.2127
0.0000 0.3612 0.3612
0.5000 0.0317 0.0317
0.5000 0.5419 0.7866
0.5000 0.7866 0.5419
0.5000 0.1214 0.4533
0.5000 0.4533 0.1214
0.0000 0.7854 0.7854
```

Magnetization: 0.0 μB per formula unit

3.
Entry from the Open Quantum Materials Database: a relaxed structure of GaCo2Tc (PBE-GGA).

Structure (POSCAR):
```
GaCo2Tc
1.0
0.0000 2.9095 2.9095
2.9095 0.0000 2.9095
2.9095 2.9095 0.0000
Ga Co Tc
1 2 1
direct
0.0000 0.0000 0.0000
0.5000 0.5000 0.5000
0.7500 0.7500 0.7500
0.2500 0.2500 0.2500
```

Magnetization: 0.2 μB per formula unit

4.
Entry from the Open Quantum Materials Database: a relaxed structure of DyHo2Al3Ni3 (PBE-GGA).

Structure (POSCAR):
```
DyHo2Al3Ni3
1.0
3.9359 0.0000 0.0000
0.0000 5.9708 3.4485
0.0000 -5.9708 3.4485
Dy Ho Al Ni
1 2 3 3
direct
0.0000 0.0000 0.0000
0.0000 0.4160 0.8318
0.0000 0.8318 0.4160
0.5000 0.1804 0.4166
0.5000 0.4166 0.1804
0.5000 0.6519 0.6519
0.0000 0.4172 0.4172
0.5000 0.0833 0.7483
0.5000 0.7483 0.0833
```

Magnetization: 0.0 μB per formula unit

5.
Entry from the Open Quantum Materials Database: a relaxed structure of AcSb12Os4 (PBE-GGA).

Structure (POSCAR):
```
AcSb12Os4
1.0
-4.7148 4.7148 4.7148
4.7148 -4.7148 4.7148
4.7148 4.7148 -4.7148
Ac Sb Os
1 12 4
direct
0.0000 0.0000 0.0000
0.1582 0.3411 0.4993
0.1582 0.6589 0.8171
0.1829 0.8418 0.3411
0.3411 0.1829 0.8418
0.3411 0.4993 0.1582
0.4993 0.1582 0.3411
0.5007 0.8418 0.6589
0.6589 0.5007 0.8418
0.6589 0.8171 0.1582
0.8171 0.1582 0.6589
0.8418 0.3411 0.1829
0.8418 0.6589 0.5007
0.0000 0.0000 0.5000
0.0000 0.5000 0.0000
0.5000 0.0000 0.0000
0.5000 0.5000 0.5000
```

Magnetization: 0.0 μB per formula unit

6.
Entry from the Open Quantum Materials Database: a relaxed structure of Cs3PmBr6 (PBE-GGA).

Structure (POSCAR):
```
Cs3PmBr6
1.0
7.3019 -4.3033 0.0000
7.3019 4.3033 0.0000
-4.7507 0.0000 7.4495
Cs Pm Br
3 1 6
direct
0.0000 0.0000 0.0000
0.2417 0.2417 0.7208
0.7583 0.7583 0.2792
0.5000 0.5000 0.5000
0.1957 0.6643 0.6483
0.2877 0.2877 0.1729
0.3357 0.8043 0.3517
0.6643 0.1957 0.6483
0.7123 0.7123 0.8271
0.8043 0.3357 0.3517
```

Magnetization: 0.0 μB per formula unit

7.
Entry from the Open Quantum Materials Database: a relaxed structure of GeMo (PBE-GGA).

Structure (POSCAR):
```
GeMo
1.0
0.0000 2.5749 2.5749
2.5749 0.0000 2.5749
2.5749 2.5749 0.0000
Ge Mo
1 1
direct
0.0000 0.0000 0.0000
0.5000 0.5000 0.5000
```

Magnetization: 0.1 μB per formula unit

8.
Entry from the Open Quantum Materials Database: a relaxed structure of CoS2 (PBE-GGA).

Structure (POSCAR):
```
CoS2
1.0
3.2660 0.0000 0.0000
0.0000 3.2660 0.0000
0.0000 0.0000 8.7757
Co S
2 4
direct
0.2500 0.2500 0.1360
0.7500 0.7500 0.8640
0.2500 0.2500 0.8835
0.2500 0.7500 0.5000
0.7500 0.2500 0.5000
0.7500 0.7500 0.1165
```

Magnetization: 0.0 μB per formula unit

9.
Entry from the Open Quantum Materials Database: a relaxed structure of NaCu4P3 (PBE-GGA).

Structure (POSCAR):
```
NaCu4P3
1.0
1.9201 1.1086 10.0615
-1.9201 1.1086 10.0615
0.0000 -2.2172 10.0615
Na Cu P
1 4 3
direct
0.0000 0.0000 0.0000
0.1934 0.1934 0.1934
0.4178 0.4178 0.4178
0.5822 0.5822 0.5822
0.8066 0.8066 0.8066
0.2685 0.2685 0.2685
0.5000 0.5000 0.5000
0.7315 0.7315 0.7315
```

10.
Entry from the Open Quantum Materials Database: a relaxed structure of NaGdCo (PBE-GGA).

Structure (POSCAR):
```
NaGdCo
1.0
0.0000 3.3289 3.3289
3.3289 0.0000 3.3289
3.3289 3.3289 0.0000
Na Gd Co
1 1 1
direct
0.0000 0.0000 0.0000
0.7500 0.7500 0.7500
0.5000 0.5000 0.5000
```

Polymorph energy (0 for the lowest one): 396.9 meV/atom
Magnetization: 0.6 μB per formula unit

11.
Entry from the Open Quantum Materials Database: a relaxed structure of RbDyFeSe3 (PBE-GGA).

Structure (POSCAR):
```
RbDyFeSe3
1.0
9.1908 0.0000 0.0000
0.0000 4.1096 0.0000
-3.6321 0.0000 9.5683
Rb Dy Fe Se
2 2 2 6
direct
0.2212 0.2500 0.2536
0.7788 0.7500 0.7464
0.3314 0.7500 0.8530
0.6686 0.2500 0.1470
0.0733 0.2500 0.5871
0.9267 0.7500 0.4129
0.1050 0.2500 0.8329
0.2113 0.7500 0.5437
0.4544 0.7500 0.1482
0.5456 0.2500 0.8518
0.7887 0.2500 0.4563
0.8950 0.7500 0.1671
```

Magnetization: 4.0 μB per formula unit

12.
Entry from the Open Quantum Materials Database: a relaxed structure of Hf2Ag3Pt (PBE-GGA).

Structure (POSCAR):
```
Hf2Ag3Pt
1.0
3.5245 0.0000 0.0000
0.0000 3.5245 0.0000
0.0000 0.0000 8.8230
Hf Ag Pt
2 3 1
direct
0.0000 0.0000 0.0000
0.5000 0.5000 0.4795
0.0000 0.0000 0.3187
0.0000 0.0000 0.6550
0.5000 0.5000 0.8153
0.5000 0.5000 0.1446
```

Energy of formation: -0.3554 eV/atom
Magnetization: 0.3 μB per formula unit

13.
Entry from the Open Quantum Materials Database: a relaxed structure of ZnPdAu (PBE-GGA).

Structure (POSCAR):
```
ZnPdAu
1.0
4.3361 -2.0062 0.0000
4.3361 2.0062 0.0000
-1.3463 0.0000 5.4790
Zn Pd Au
2 2 2
direct
0.0000 0.0000 0.0000
0.6812 0.6812 0.3478
0.3411 0.3411 0.1799
0.6674 0.6674 0.8685
0.0123 0.0123 0.4915
0.3398 0.3398 0.6835
```

Energy of formation: -0.3630 eV/atom
Polymorph energy (0 for the lowest one): 0.0 meV/atom

14.
Entry from the Open Quantum Materials Database: a relaxed structure of RbHfIn2Br6 (PBE-GGA).

Structure (POSCAR):
```
RbHfIn2Br6
1.0
0.0000 5.8158 5.8158
5.8158 0.0000 5.8158
5.8158 5.8158 0.0000
Rb Hf In Br
1 1 2 6
direct
0.0000 0.0000 0.0000
0.5000 0.5000 0.5000
0.2500 0.2500 0.2500
0.7500 0.7500 0.7500
0.2738 0.2738 0.7262
0.2738 0.7262 0.2738
0.2738 0.7262 0.7262
0.7262 0.2738 0.2738
0.7262 0.2738 0.7262
0.7262 0.7262 0.2738
```

Magnetization: 1.0 μB per formula unit

15.
Entry from the Open Quantum Materials Database: a relaxed structure of Pr5Co19B6 (PBE-GGA).

Structure (POSCAR):
```
Pr5Co19B6
1.0
5.0913 0.0000 0.0000
-2.5456 4.4092 0.0000
0.0000 0.0000 16.5843
Pr Co B
5 19 6
direct
0.0000 0.0000 0.0000
0.0000 0.0000 0.2043
0.0000 0.0000 0.4053
0.0000 0.0000 0.5947
0.0000 0.0000 0.7957
0.0000 0.5000 0.0874
0.0000 0.5000 0.3244
0.0000 0.5000 0.5000
0.0000 0.5000 0.6756
0.0000 0.5000 0.9126
0.3333 0.6667 0.2053
0.3333 0.6667 0.7947
0.5000 0.0000 0.0874
0.5000 0.0000 0.3244
0.5000 0.0000 0.5000
0.5000 0.0000 0.6756
0.5000 0.0000 0.9126
0.5000 0.5000 0.0874
0.5000 0.5000 0.3244
0.5000 0.5000 0.5000
0.5000 0.5000 0.6756
0.5000 0.5000 0.9126
0.6667 0.3333 0.2053
0.6667 0.3333 0.7947
0.3333 0.6667 0.0000
0.3333 0.6667 0.4107
0.3333 0.6667 0.5893
0.6667 0.3333 0.0000
0.6667 0.3333 0.4107
0.6667 0.3333 0.5893
```

Magnetization: 14.3 μB per formula unit

16.
Entry from the Open Quantum Materials Database: a relaxed structure of PrDyCd2Au4 (PBE-GGA).

Structure (POSCAR):
```
PrDyCd2Au4
1.0
4.9924 0.0000 0.0000
0.0000 4.9924 0.0000
0.0000 0.0000 7.0535
Pr Dy Cd Au
1 1 2 4
direct
0.0000 0.0000 0.0000
0.5000 0.5000 0.5000
0.0000 0.0000 0.5000
0.5000 0.5000 0.0000
0.0000 0.5000 0.2630
0.0000 0.5000 0.7370
0.5000 0.0000 0.2630
0.5000 0.0000 0.7370
```

Energy of formation: -0.6580 eV/atom
Magnetization: 0.0 μB per formula unit

17.
Entry from the Open Quantum Materials Database: a relaxed structure of YNbCoCu (PBE-GGA).

Structure (POSCAR):
```
YNbCoCu
1.0
0.0000 3.1813 3.1813
3.1813 0.0000 3.1813
3.1813 3.1813 0.0000
Y Nb Co Cu
1 1 1 1
direct
0.0000 0.0000 0.0000
0.7500 0.7500 0.7500
0.5000 0.5000 0.5000
0.2500 0.2500 0.2500
```

Energy of formation: 0.2532 eV/atom
Polymorph energy (0 for the lowest one): 143.1 meV/atom
Magnetization: 0.0 μB per formula unit

18.
Entry from the Open Quantum Materials Database: a relaxed structure of WSe3SBr (PBE-GGA).

Structure (POSCAR):
```
WSe3SBr
1.0
6.3672 0.0000 0.0000
3.1802 7.3276 0.0000
0.9284 3.6716 7.0575
W Se S Br
2 6 2 2
direct
0.2233 0.0002 0.9996
0.7767 0.9998 0.0004
0.0261 0.8607 0.3027
0.3812 0.2964 0.8009
0.4617 0.0041 0.2472
0.5383 0.9959 0.7528
0.6188 0.7036 0.1991
0.9739 0.1393 0.6973
0.1188 0.7872 0.9114
0.8812 0.2128 0.0886
0.2643 0.4030 0.2374
0.7357 0.5970 0.7626
```

Polymorph energy (0 for the lowest one): 45.6 meV/atom
Magnetization: 0.0 μB per formula unit

19.
Entry from the Open Quantum Materials Database: a relaxed structure of GdAlZnNi (PBE-GGA).

Structure (POSCAR):
```
GdAlZnNi
1.0
2.0521 -4.8318 0.0000
2.0521 4.8318 0.0000
0.0000 0.0000 7.1049
Gd Al Zn Ni
2 2 2 2
direct
0.0605 0.9395 0.5000
0.9395 0.0605 0.0000
0.3416 0.6584 0.3004
0.6584 0.3416 0.8004
0.3501 0.6499 0.6897
0.6499 0.3501 0.1897
0.2204 0.7796 0.9916
0.7796 0.2204 0.4916
```

Polymorph energy (0 for the lowest one): 5.5 meV/atom
Magnetization: 0.0 μB per formula unit

20.
Entry from the Open Quantum Materials Database: a relaxed structure of Cu4Ag (PBE-GGA).

Structure (POSCAR):
```
Cu4Ag
1.0
2.7149 0.0000 0.0000
0.0000 2.7149 0.0000
0.0000 0.0000 17.6462
Cu Ag
8 2
direct
0.0000 0.0000 0.0000
0.0000 0.0000 0.1850
0.0000 0.0000 0.8150
0.5000 0.5000 0.0925
0.5000 0.5000 0.2774
0.5000 0.5000 0.5000
0.5000 0.5000 0.7226
0.5000 0.5000 0.9075
0.0000 0.0000 0.3890
0.0000 0.0000 0.6110
```

Energy of formation: 0.0585 eV/atom
Polymorph energy (0 for the lowest one): 14.4 meV/atom

21.
Entry from the Open Quantum Materials Database: a relaxed structure of AlInMo (PBE-GGA).

Structure (POSCAR):
```
AlInMo
1.0
0.0000 3.1833 3.1833
3.1833 0.0000 3.1833
3.1833 3.1833 0.0000
Al In Mo
1 1 1
direct
0.0000 0.0000 0.0000
0.5000 0.5000 0.5000
0.2500 0.2500 0.2500
```

Polymorph energy (0 for the lowest one): 0.0 meV/atom
Magnetization: 1.7 μB per formula unit

22.
Entry from the Open Quantum Materials Database: a relaxed structure of ZrNbFeGe (PBE-GGA).

Structure (POSCAR):
```
ZrNbFeGe
1.0
0.0000 3.1970 3.1970
3.1970 0.0000 3.1970
3.1970 3.1970 0.0000
Zr Nb Fe Ge
1 1 1 1
direct
0.0000 0.0000 0.0000
0.2500 0.2500 0.2500
0.7500 0.7500 0.7500
0.5000 0.5000 0.5000
```

Polymorph energy (0 for the lowest one): 0.0 meV/atom
Magnetization: 2.9 μB per formula unit

23.
Entry from the Open Quantum Materials Database: a relaxed structure of Na2NbO3F (PBE-GGA).

Structure (POSCAR):
```
Na2NbO3F
1.0
3.9163 0.0000 0.0000
0.0000 3.9163 0.0000
0.0000 0.0000 12.0838
Na Nb O F
4 2 6 2
direct
0.2500 0.2500 0.0948
0.2500 0.2500 0.3981
0.7500 0.7500 0.6019
0.7500 0.7500 0.9052
0.2500 0.2500 0.7589
0.7500 0.7500 0.2411
0.2500 0.2500 0.9117
0.2500 0.7500 0.2621
0.2500 0.7500 0.7379
0.7500 0.2500 0.2621
0.7500 0.2500 0.7379
0.7500 0.7500 0.0883
0.2500 0.2500 0.5765
0.7500 0.7500 0.4235
```

Magnetization: 0.0 μB per formula unit

Number 1: calculated total energy -8.8894 eV/atom. Number 2: calculated total energy -3.3557 eV/atom. Number 3: calculated total energy -6.8615 eV/atom. Number 4: calculated total energy -5.2484 eV/atom. Number 5: calculated total energy -5.9992 eV/atom. Number 6: calculated total energy -3.6017 eV/atom. Number 7: calculated total energy -7.2908 eV/atom. Number 8: calculated total energy -4.8997 eV/atom. Number 9: calculated total energy -4.1575 eV/atom. Number 10: calculated total energy -3.4110 eV/atom. Number 11: calculated total energy -5.2725 eV/atom. Number 12: calculated total energy -6.0953 eV/atom. Number 13: calculated total energy -3.5985 eV/atom. Number 14: calculated total energy -3.6334 eV/atom. Number 15: calculated total energy -6.8572 eV/atom. Number 16: calculated total energy -3.6872 eV/atom. Number 17: calculated total energy -6.5925 eV/atom. Number 18: calculated total energy -5.1893 eV/atom. Number 19: calculated total energy -4.3211 eV/atom. Number 20: calculated total energy -3.4800 eV/atom. Number 21: calculated total energy -5.1644 eV/atom. Number 22: calculated total energy -7.8464 eV/atom. Number 23: calculated total energy -6.6609 eV/atom.